Record 1
First-principles (GGA-PBE) data for a geometry-optimized SrSi2Rh structure, as listed in Alexandria.

a = 4.9187 Å, b = 4.9187 Å, c = 15.7686 Å
α = 90.00°, β = 90.00°, γ = 90.00°
Closest atoms and distances in Å follow each position.
Space group I4_1/amd (No. 141, origin choice 2)
One atom of each set of equivalent atoms:
Sr  0.0000  0.2500  0.3750 (multiplicity 4)  8 Si 3.38, 4 Rh 3.48
Si  0.0000  0.0000  0.0000 (multiplicity 8)  2 Rh 2.32, 2 Si 2.46
Rh  0.0000  0.2500  0.8750 (multiplicity 4)  4 Si 2.32

For the density of states at the Fermi level, the calculation gives 9.68 states/eV/cell. The calculation puts the formation energy (no corrections) at -482 meV/atom. The value obtained for the calculated density is 4.30 g/cm³. For the electronic total energy, the calculation gives -0.2004 hartree per atom.


Record 2
First-principles (GGA-PBE) data for a geometry-optimized PaCrH structure, as listed in Alexandria.

a = 3.1372 Å, b = 3.4785 Å, c = 7.9897 Å
α = 90.00°, β = 90.00°, γ = 90.00°
Closest atoms and distances in Å follow each position.
Space group Pmmn (No. 59, origin choice 2)
One atom of each set of equivalent atoms:
Pa  0.2500  0.2500  0.1907 (multiplicity 2)  4 H 2.25-2.26
Cr  0.2500  0.7500  0.4831 (multiplicity 2)  4 Cr 2.36
H  0.2500  0.7500  0.0104 (multiplicity 2)  4 Pa 2.25-2.26, 4 H 2.35

For the density of states at the Fermi level, the calculation gives 4.60 states/eV/cell. The value obtained for the calculated density is 10.82 g/cm³. For the electronic total energy, the calculation gives -0.2675 hartree per atom.


Record 3
First-principles (GGA-PBE) data for a geometry-optimized Sr2LiIn12Ni3 structure, as listed in Alexandria.

a = 9.5261 Å, b = 9.5261 Å, c = 20.0119 Å
α = 90.00°, β = 90.00°, γ = 120.00°
Closest atoms and distances in Å follow each position.
Space group R-3m (No. 166, hexagonal axes)
One atom of each set of equivalent atoms:
Sr  0.0000  0.0000  0.0982 (multiplicity 6)  3 In 3.44
Li  0.0000  0.0000  0.5000 (multiplicity 3)  6 In 2.93
In  0.0085  0.5043  0.8727 (multiplicity 18)  1 Ni 2.55
In  0.0862  0.5431  0.3227 (multiplicity 18)  2 Ni 2.48
Ni  0.0000  0.5000  0.0000 (multiplicity 9)  6 In 2.48-2.55

For the density of states at the Fermi level, the calculation gives 26.54 states/eV/cell. The value obtained for the calculated density is 5.50 g/cm³. For the electronic total energy, the calculation gives -0.1143 hartree per atom. The calculated formation energy comes out at -29 meV/atom.


Record 4
First-principles (GGA-PBE) data for a geometry-optimized Pt3IF structure, as listed in Alexandria.

a = 4.5236 Å, b = 4.5236 Å, c = 4.5236 Å
α = 90.00°, β = 90.00°, γ = 90.00°
Closest atoms and distances in Å follow each position.
Space group Pm-3m (No. 221)
One atom of each set of equivalent atoms:
Pt  0.0000  0.0000  0.5000 (multiplicity 3)  2 F 2.26
I  0.5000  0.5000  0.5000 (multiplicity 1)  12 Pt 3.20
F  0.0000  0.0000  0.0000 (multiplicity 1)  6 Pt 2.26

For the density of states at the Fermi level, the calculation gives 8.24 states/eV/cell. The calculation puts the formation energy (no corrections) at 923 meV/atom. Its offset from the most stable computed form is 0 meV per atom. The value obtained for the calculated density is 13.12 g/cm³. For the electronic total energy, the calculation gives -0.1244 hartree per atom.


Record 5
First-principles (GGA-PBE) data for a geometry-optimized LiSc2PaAs4 structure, as listed in Alexandria.

a = 5.5869 Å, b = 5.5869 Å, c = 11.3120 Å
α = 90.00°, β = 90.00°, γ = 90.00°
Closest atoms and distances in Å follow each position.
Space group I4/mmm (No. 139)
One atom of each set of equivalent atoms:
Li  0.0000  0.0000  0.0000 (multiplicity 2)  6 As 2.79-2.84
Sc  0.0000  0.5000  0.2500 (multiplicity 4)  6 As 2.79-2.83
Pa  0.0000  0.0000  0.5000 (multiplicity 2)  6 As 2.79-2.81
As  0.0000  0.0000  0.2514 (multiplicity 4)  4 Sc 2.79, 1 Pa 2.81, 1 Li 2.84
As  0.0000  0.5000  0.0000 (multiplicity 4)  2 Li 2.79, 2 Pa 2.79, 2 Sc 2.83

For the density of states at the Fermi level, the calculation gives 3.24 states/eV/cell. The value obtained for the calculated density is 5.90 g/cm³. For the electronic total energy, the calculation gives -0.2348 hartree per atom. The calculated formation energy comes out at -1056 meV/atom.


Record 6
First-principles (GGA-PBE) data for a geometry-optimized Lu2ScAs structure, as listed in Alexandria.

a = 3.6806 Å, b = 3.6806 Å, c = 29.2149 Å
α = 90.00°, β = 90.00°, γ = 120.00°
Closest atoms and distances in Å follow each position.
Space group R-3m (No. 166, hexagonal axes)
One atom of each set of equivalent atoms:
Lu  0.0000  0.0000  0.1079 (multiplicity 6)  3 As 2.73
Sc  0.0000  0.0000  0.0000 (multiplicity 3)  2 Lu 3.15
As  0.0000  0.0000  0.5000 (multiplicity 3)  6 Lu 2.73

For the density of states at the Fermi level, the calculation gives 18.12 states/eV/cell. The value obtained for the calculated density is 6.83 g/cm³. For the electronic total energy, the calculation gives -0.1929 hartree per atom. The calculated formation energy comes out at -243 meV/atom.


Record 7
First-principles (GGA-PBE) data for a geometry-optimized Y2TmPu structure, as listed in Alexandria.

a = 7.8957 Å, b = 7.8957 Å, c = 7.8957 Å
α = 90.00°, β = 90.00°, γ = 90.00°
Closest atoms and distances in Å follow each position.
Space group Fm-3m (No. 225)
One atom of each set of equivalent atoms:
Y  0.2500  0.2500  0.2500 (multiplicity 8)  4 Pu 3.42, 4 Tm 3.42
Tm  0.0000  0.0000  0.0000 (multiplicity 4)  8 Y 3.42
Pu  0.0000  0.0000  0.5000 (multiplicity 4)  8 Y 3.42

For the density of states at the Fermi level, the calculation gives 42.07 states/eV/cell. Its offset from the most stable computed form is 100 meV per atom. The value obtained for the calculated density is 7.97 g/cm³. For the electronic total energy, the calculation gives -0.2843 hartree per atom. The calculated formation energy comes out at 196 meV/atom.


Record 8
First-principles (GGA-PBE) data for a geometry-optimized AgHg4Pt structure, as listed in Alexandria.

a = 8.0451 Å, b = 8.0451 Å, c = 8.0451 Å
α = 90.00°, β = 90.00°, γ = 90.00°
Closest atoms and distances in Å follow each position.
Space group F-43m (No. 216)
One atom of each set of equivalent atoms:
Ag  0.0000  0.0000  0.0000 (multiplicity 4)  12 Hg 3.34, 4 Pt 3.48
Hg  0.1248  0.1248  0.6248 (multiplicity 16)  6 Hg 2.84-2.85
Pt  0.2500  0.2500  0.2500 (multiplicity 4)  12 Hg 3.33, 4 Ag 3.48

For the density of states at the Fermi level, the calculation gives 7.62 states/eV/cell. The value obtained for the calculated density is 14.10 g/cm³. For the electronic total energy, the calculation gives -0.0459 hartree per atom. The calculated formation energy comes out at 433 meV/atom.


Copy entry 4 word for word.
First-principles (GGA-PBE) data for a geometry-optimized Pt3IF structure, as listed in Alexandria.

a = 4.5236 Å, b = 4.5236 Å, c = 4.5236 Å
α = 90.00°, β = 90.00°, γ = 90.00°
Closest atoms and distances in Å follow each position.
Space group Pm-3m (No. 221)
One atom of each set of equivalent atoms:
Pt  0.0000  0.0000  0.5000 (multiplicity 3)  2 F 2.26
I  0.5000  0.5000  0.5000 (multiplicity 1)  12 Pt 3.20
F  0.0000  0.0000  0.0000 (multiplicity 1)  6 Pt 2.26

For the density of states at the Fermi level, the calculation gives 8.24 states/eV/cell. The calculation puts the formation energy (no corrections) at 923 meV/atom. Its offset from the most stable computed form is 0 meV per atom. The value obtained for the calculated density is 13.12 g/cm³. For the electronic total energy, the calculation gives -0.1244 hartree per atom.